Computed, not measured: an optimized crystal structure of SrPrPt at the GGA-PBE level of DFT.

Output
Distance to the lowest polymorph of the same formula ... 0.096 eV/atom
Magnetic moment ... 0.00 μB/f.u.
SG ... F-43m (216)

Structure (extended XYZ):
```
3
Lattice="-2.231 -1.517 -4.355 -4.621 -2.207 0.124 -4.088 2.513 -1.794" Properties=species:S:1:pos:R:3 pbc="T T T"
Pr -5.470 -0.606 -3.013
Sr 0.000 0.000 0.000
Pt -2.735 -0.303 -1.506
```